1.
Here is a relaxed structure of Tb5Ho3Tl from Alexandria. Energies are from PBE.

Cell: 7.7079 7.7079 13.6775 Å, 62.79 62.79 61.33°
Last column: nearest neighbours and their distance in Å.
Atoms (fractional coordinates):
Tb  0.9882  0.4517  0.2405  2 Tb 3.09-3.44, 1 Ho 3.30, 1 Tl 3.30
Tb  0.3296  0.6704  0.0000  1 Ho 2.59, 1 Tb 2.68
Tb  0.7294  0.7294  0.0265  1 Tl 3.30, 2 Ho 3.41-3.55, 4 Tb 3.51-3.55
Tb  0.5273  0.5273  0.3859  3 Tb 2.80-3.09, 1 Ho 2.87
Tb  0.4727  0.4727  0.6141  3 Tb 2.80-3.09, 1 Ho 2.87
Tb  0.2706  0.2706  0.9735  1 Tl 3.30, 2 Ho 3.41-3.55, 4 Tb 3.51-3.55
Tb  0.4517  0.9882  0.2405  2 Tb 3.09-3.44, 1 Ho 3.30, 1 Tl 3.30
Tb  0.6704  0.3296  0.0000  1 Ho 2.59, 1 Tb 2.68
Tb  0.0118  0.5483  0.7595  2 Tb 3.09-3.44, 1 Ho 3.30, 1 Tl 3.30
Tb  0.5483  0.0118  0.7595  2 Tb 3.09-3.44, 1 Ho 3.30, 1 Tl 3.30
Ho  0.5769  0.5769  0.7523  1 Tb 2.87
Ho  0.7645  0.7645  0.4474  1 Tl 3.10, 1 Tb 3.28
Ho  0.0000  0.0000  0.0000  2 Tb 2.59
Ho  0.0000  0.0000  0.5000  2 Ho 3.56, 2 Tl 3.59, 4 Tb 3.66
Ho  0.4231  0.4231  0.2477  1 Tb 2.87
Ho  0.2355  0.2355  0.5526  1 Tl 3.10, 1 Tb 3.28
Tl  0.9808  0.9808  0.7720  2 Ho 3.10-3.26, 3 Tb 3.30
Tl  0.0192  0.0192  0.2280  2 Ho 3.10-3.26, 3 Tb 3.30

Calculated values
- space group = No. 12
- energy relative to the elements (eV/f.u.) = 4.25

=====

2.
Here is a relaxed structure of Nd6Ir2I3Cl from Alexandria. Energies are from PBE.

Cell: 7.4743 7.4743 8.3675 Å, 98.54 98.54 119.88°
Last column: nearest neighbours and their distance in Å.
Atoms (fractional coordinates):
Nd  0.9367  0.5718  0.8105  2 Ir 2.82, 1 Cl 3.12
Nd  0.6986  0.6986  0.1879  2 Ir 2.82, 1 Cl 3.11
Nd  0.0633  0.4282  0.1895  2 Ir 2.82, 1 Cl 3.12
Nd  0.5718  0.9367  0.8105  2 Ir 2.82, 1 Cl 3.12
Nd  0.3014  0.3014  0.8121  2 Ir 2.82, 1 Cl 3.11
Nd  0.4282  0.0633  0.1895  2 Ir 2.82, 1 Cl 3.12
Ir  0.3331  0.6669  0.0000  6 Nd 2.82
Ir  0.6669  0.3331  0.0000  6 Nd 2.82
I  0.1619  0.8381  0.5000  6 Nd 3.39-3.61
I  0.8381  0.1619  0.5000  6 Nd 3.39-3.61
I  0.5000  0.5000  0.5000  6 Nd 3.37-3.61
Cl  0.0000  0.0000  0.0000  6 Nd 3.11-3.12

Calculated values
- space group = No. 12
- formation energy (no corrections) (eV per atom) = -1.05

=====

no.,calculated volume (Å³/f.u.)
1,301.9
2,387.1